# InPb2W (meta-GGA SCAN, single point on PBEsol structure)
data_InPb2W
_space_group_name_H-M_alt 'C m m m'
_space_group_IT_number 65
_space_group_name_Hall '-C 2 2'
_cell_length_a 3.658
_cell_length_b 4.925
_cell_length_c 10.718
_cell_angle_alpha 90.00
_cell_angle_beta 90.00
_cell_angle_gamma 90.00
loop_
_atom_site_label
_atom_site_type_symbol
_atom_site_fract_x
_atom_site_fract_y
_atom_site_fract_z
In1 In 0.000 0.000 0.000
Pb1 Pb 0.000 0.500 0.288
W1 W 0.000 0.000 0.500
# ΔH_f (0 K) = 2.76 eV/f.u.